(1)
A PBEsol-optimized structure of RbAgW2Au. Source: the Alexandria database, functional SCAN.

Unit cell a=4.6715 b=4.6715 c=4.9644 alpha=90.00 beta=90.00 gamma=90.00
Element x y z (fractional)
Rb  0.0000  0.0000  0.0000
Ag  0.0000  0.0000  0.5000
W  0.0000  0.5000  0.0000
Au  0.5000  0.5000  0.5000
W  0.5000  0.0000  0.0000

Properties
energy of formation	366.6	kJ per mole of atoms
total moment	0.8	μB/f.u.
Fermi-level density of states	0.85	states/eV/atom


(2)
A PBEsol-optimized structure of Mg2AlIn. Source: the Alexandria database, functional SCAN.

Unit cell a=3.2417 b=5.1891 c=5.3704 alpha=100.25 beta=90.00 gamma=108.20
Element x y z (fractional)
Al  0.0000  0.0000  0.5000
Mg  0.2539  0.5077  0.2591
In  0.5000  0.0000  0.0000
Mg  0.7461  0.4923  0.7409

Properties
energy of formation	-3.4	kJ per mole of atoms
total moment	0.0	μB/f.u.
Fermi-level density of states	0.41	states/eV/atom


(3)
A PBEsol-optimized structure of CaCrAu. Source: the Alexandria database, functional SCAN.

Unit cell a=3.5142 b=3.5142 c=5.7066 alpha=107.93 beta=107.93 gamma=90.00
Element x y z (fractional)
Cr  0.6352  0.6352  0.2705
Au  0.0254  0.0254  0.0508
Ca  0.3394  0.3394  0.6787

Properties
energy of formation	-23.9	kJ per mole of atoms
total moment	4.7	μB/f.u.
Fermi-level density of states	0.72	states/eV/atom


(4)
A PBEsol-optimized structure of LiInAg2. Source: the Alexandria database, functional SCAN.

Unit cell a=2.8653 b=4.2965 c=5.8364 alpha=90.00 beta=105.85 gamma=90.00
Element x y z (fractional)
Li  0.0000  0.5000  0.5000
In  0.5000  0.5000  0.0000
Ag  0.8091  0.0000  0.7326
Ag  0.1909  0.0000  0.2674

Properties
energy of formation	-13.7	kJ per mole of atoms
total moment	0.0	μB/f.u.
Fermi-level density of states	0.26	states/eV/atom


(5)
A PBEsol-optimized structure of Si2TeRh2. Source: the Alexandria database, functional SCAN.

Unit cell a=3.6719 b=3.6719 c=6.6186 alpha=106.10 beta=106.10 gamma=90.00
Element x y z (fractional)
Te  0.0000  0.0000  0.0000
Si  0.7500  0.2500  0.5000
Si  0.2500  0.7500  0.5000
Rh  0.6290  0.6290  0.2581
Rh  0.3710  0.3710  0.7419

Properties
total moment	0.0	μB/f.u.
Fermi-level density of states	0.23	states/eV/atom
formation energy from raw total energies	-0.566	eV per atom


(6)
A PBEsol-optimized structure of Sc2MnRe. Source: the Alexandria database, functional SCAN.

Unit cell a=4.4407 b=4.4407 c=4.4407 alpha=60.00 beta=60.00 gamma=60.00
Element x y z (fractional)
Mn  0.5000  0.5000  0.5000
Sc  0.0000  0.0000  0.0000
Sc  0.2500  0.2500  0.2500
Re  0.7500  0.7500  0.7500

Properties
energy of formation	17.2	kJ per mole of atoms
total moment	0.0	μB/f.u.
Fermi-level density of states	1.15	states/eV/atom


(7)
A PBEsol-optimized structure of ScAlCl2. Source: the Alexandria database, functional SCAN.

Unit cell a=3.3997 b=3.3997 c=9.4753 alpha=79.67 beta=79.67 gamma=60.00
Element x y z (fractional)
Al  0.5000  0.5000  0.5000
Cl  0.0855  0.0855  0.7435
Cl  0.9145  0.9145  0.2565
Sc  0.0000  0.0000  0.0000

Properties
total moment	0.0	μB/f.u.
Fermi-level density of states	0.40	states/eV/atom
formation energy from raw total energies	-0.689	eV per atom


(8)
A PBEsol-optimized structure of YMgSi2. Source: the Alexandria database, functional SCAN.

Unit cell a=3.7410 b=4.1761 c=5.4457 alpha=112.55 beta=90.00 gamma=90.00
Element x y z (fractional)
Y  0.0000  0.4806  0.9611
Si  0.5000  0.0419  0.0838
Mg  0.5000  0.7641  0.5281
Si  0.0000  0.1974  0.3949

Properties
total moment	0.0	μB/f.u.
Fermi-level density of states	0.39	states/eV/atom
formation energy from raw total energies	-0.449	eV per atom


(9)
A PBEsol-optimized structure of CsP2PdO. Source: the Alexandria database, functional SCAN.

Unit cell a=4.4583 b=4.4583 c=5.8305 alpha=90.00 beta=90.00 gamma=90.00
Element x y z (fractional)
Cs  0.5000  0.5000  0.5000
P  0.5000  0.0000  0.0000
O  0.0000  0.0000  0.5000
Pd  0.0000  0.0000  0.0000
P  0.0000  0.5000  0.0000

Properties
total moment	1.5	μB/f.u.
Fermi-level density of states	0.85	states/eV/atom
formation energy from raw total energies	0.256	eV per atom


(10)
A PBEsol-optimized structure of SrCdRh. Source: the Alexandria database, functional SCAN.

Unit cell a=3.9465 b=4.6006 c=4.6006 alpha=120.00 beta=90.00 gamma=90.00
Element x y z (fractional)
Cd  0.0000  0.0000  0.0000
Rh  0.0000  0.3333  0.6667
Sr  0.5000  0.6667  0.3333

Properties
energy of formation	-21.3	kJ per mole of atoms
total moment	0.0	μB/f.u.
Fermi-level density of states	0.50	states/eV/atom


(11)
A PBEsol-optimized structure of LaTl2Pb. Source: the Alexandria database, functional SCAN.

Unit cell a=4.6944 b=4.6944 c=6.0859 alpha=112.69 beta=112.69 gamma=90.00
Element x y z (fractional)
Tl  0.2500  0.7500  0.5000
La  0.5000  0.5000  0.0000
Pb  0.7500  0.2500  0.5000
Tl  0.0000  0.0000  0.0000

Properties
energy of formation	-45.1	kJ per mole of atoms
total moment	0.0	μB/f.u.
Fermi-level density of states	0.66	states/eV/atom


(12)
A PBEsol-optimized structure of FeB2PdN. Source: the Alexandria database, functional SCAN.

Unit cell a=3.8390 b=3.8390 c=4.9817 alpha=90.00 beta=90.00 gamma=90.00
Element x y z (fractional)
B  0.0000  0.5000  0.0000
N  0.5000  0.5000  0.5000
B  0.5000  0.0000  0.0000
Fe  0.0000  0.0000  0.5000
Pd  0.0000  0.0000  0.0000

Properties
total moment	5.2	μB/f.u.
Fermi-level density of states	0.36	states/eV/atom
formation energy from raw total energies	1.758	eV per atom